# 1
# KNa2NpI8

An optimized crystal structure of KNa2NpI8 (PBE, the Alexandria database).

Formation energy without anion corrections in eV/atom: -0.939
Final energy in eV for the cell shown: -40.3

abc: 6.784 7.868 10.284
angles: 90.01 90.21 91.54
Atoms (fractional coordinates):
K  0.000  0.000  0.000
Na  0.498  0.500  0.728
Na  0.502  0.500  0.272
Np  0.000  0.000  0.500
I  0.242  0.328  0.499
I  0.246  0.475  0.000
I  0.246  0.852  0.288
I  0.248  0.855  0.713
I  0.752  0.145  0.287
I  0.754  0.148  0.712
I  0.754  0.525  0.000
I  0.758  0.672  0.501

=====

# 2
# K2BaAu2Br6

An optimized crystal structure of K2BaAu2Br6 (PBE, the Alexandria database).

Formation energy without anion corrections in eV/atom: -1.173
Final energy in eV for the cell shown: -33.6

abc: 8.319 8.319 8.210
angles: 115.78 115.78 59.45
Atoms (fractional coordinates):
K  0.242  0.242  0.189
K  0.758  0.758  0.811
Ba  0.000  0.000  0.500
Au  0.450  0.450  0.793
Au  0.550  0.550  0.207
Br  0.172  0.663  0.158
Br  0.246  0.246  0.594
Br  0.337  0.828  0.842
Br  0.663  0.172  0.158
Br  0.754  0.754  0.406
Br  0.828  0.337  0.842

=====

# 3
# Tb3SmDy4

An optimized crystal structure of Tb3SmDy4 (PBE, the Alexandria database).

ΔE to the lowest computed polymorph in kJ per mole of atoms: 0.00
Final energy in eV for the cell shown: -73.8

abc: 11.319 7.276 6.290
angles: 90.00 90.00 90.00
Atoms (fractional coordinates):
Tb  0.000  0.126  0.000
Tb  0.250  0.126  0.333
Tb  0.250  0.874  0.833
Tb  0.500  0.874  0.500
Tb  0.750  0.126  0.333
Tb  0.750  0.874  0.833
Sm  0.000  0.874  0.500
Sm  0.500  0.126  0.000
Dy  0.000  0.376  0.500
Dy  0.000  0.624  0.001
Dy  0.249  0.376  0.833
Dy  0.251  0.624  0.333
Dy  0.500  0.376  0.501
Dy  0.500  0.624  0.000
Dy  0.749  0.624  0.333
Dy  0.751  0.376  0.833

=====

# 4
# Cu2TeS

An optimized crystal structure of Cu2TeS (PBE, the Alexandria database).

Formation energy without anion corrections in eV/atom: -0.102
ΔE to the lowest computed polymorph in kJ per mole of atoms: 2.47
Final energy in eV for the cell shown: -15.9

abc: 3.825 3.825 7.014
angles: 74.19 89.98 60.19
Atoms (fractional coordinates):
Cu  0.000  0.000  0.000
Cu  0.477  0.054  0.414
Te  0.873  0.262  0.605
S  0.361  0.280  0.081

=====

# 5
# Ca2GdF

An optimized crystal structure of Ca2GdF (PBE, the Alexandria database).

Formation energy without anion corrections in eV/atom: -1.034
Final energy in eV for the cell shown: -24.1

abc: 10.150 10.150 10.150
angles: 20.41 20.41 20.41
Atoms (fractional coordinates):
Ca  0.113  0.113  0.113
Ca  0.887  0.887  0.887
Gd  0.000  0.000  0.000
F  0.500  0.500  0.500

=====

# 6
# AsIr3Pt

An optimized crystal structure of AsIr3Pt (PBE, the Alexandria database).

ΔE to the lowest computed polymorph in kJ per mole of atoms: 73.55
Final energy in eV for the cell shown: -27.1

abc: 4.803 4.803 4.803
angles: 90.00 90.00 90.00
Atoms (fractional coordinates):
As  0.000  0.000  0.000
Ir  0.000  0.500  0.500
Ir  0.500  0.000  0.500
Ir  0.500  0.500  0.000
Pt  0.500  0.500  0.500

=====

# 7
# LaScP2

An optimized crystal structure of LaScP2 (PBE, the Alexandria database).

ΔE to the lowest computed polymorph in kJ per mole of atoms: 44.31
Final energy in eV for the cell shown: -26.1

abc: 4.905 4.905 4.905
angles: 60.00 60.00 60.00
Atoms (fractional coordinates):
La  0.000  0.000  0.000
Sc  0.500  0.500  0.500
P  0.250  0.250  0.250
P  0.750  0.750  0.750

=====

# 8
# Ag2BiPt2

An optimized crystal structure of Ag2BiPt2 (PBE, the Alexandria database).

ΔE to the lowest computed polymorph in kJ per mole of atoms: 2.94
Final energy in eV for the cell shown: -21.2

abc: 7.270 7.270 7.270
angles: 149.03 149.03 44.37
Atoms (fractional coordinates):
Ag  0.250  0.750  0.500
Ag  0.750  0.250  0.500
Bi  0.000  0.000  0.000
Pt  0.401  0.401  0.000
Pt  0.599  0.599  0.000

=====

# 9
# Sm2ThCo

An optimized crystal structure of Sm2ThCo (PBE, the Alexandria database).

ΔE to the lowest computed polymorph in kJ per mole of atoms: 20.02
Final energy in eV for the cell shown: -23.7

abc: 3.486 3.486 8.754
angles: 90.00 90.00 90.00
Atoms (fractional coordinates):
Sm  0.000  0.000  0.190
Sm  0.000  0.000  0.810
Th  0.500  0.500  0.500
Co  0.500  0.500  0.000

=====

# 10
# MgScMo2

An optimized crystal structure of MgScMo2 (PBE, the Alexandria database).

Final energy in eV for the cell shown: -29.0

abc: 4.625 4.625 4.625
angles: 60.00 60.00 60.00
Atoms (fractional coordinates):
Mg  0.000  0.000  0.000
Sc  0.750  0.750  0.750
Mo  0.250  0.250  0.250
Mo  0.500  0.500  0.500

=====

# 11
# Tl3BiSe4

An optimized crystal structure of Tl3BiSe4 (PBE, the Alexandria database).

Formation energy without anion corrections in eV/atom: -0.340
ΔE to the lowest computed polymorph in kJ per mole of atoms: 0.92
Final energy in eV for the cell shown: -27.6

abc: 7.595 7.595 4.310
angles: 90.00 90.00 109.30
Atoms (fractional coordinates):
Tl  0.000  0.000  0.000
Tl  0.000  0.500  0.500
Tl  0.500  0.000  0.500
Bi  0.500  0.500  0.000
Se  0.259  0.741  0.000
Se  0.267  0.267  0.500
Se  0.733  0.733  0.500
Se  0.741  0.259  0.000

=====

# 12
# SmSbH

An optimized crystal structure of SmSbH (PBE, the Alexandria database).

ΔE to the lowest computed polymorph in kJ per mole of atoms: 0.00
Final energy in eV for the cell shown: -14.4

abc: 3.858 3.858 4.759
angles: 90.00 90.00 120.00
Atoms (fractional coordinates):
Sm  0.000  0.000  0.000
Sb  0.667  0.333  0.500
H  0.333  0.667  0.000